Entry 1:
Material: Sc3Re
Method: DFT, meta-GGA SCAN
State: PBEsol geometry

Cell lengths 4.7340, 4.7340, 4.7340 Å; angles 60.00, 60.00, 60.00 degrees
Positions (direct):
Sc (0.0000, 0.0000, 0.0000)
Sc (0.2500, 0.2500, 0.2500)
Sc (0.7500, 0.7500, 0.7500)
Re (0.5000, 0.5000, 0.5000)

Results
space-group type = Fm-3m, No. 225
VASP energy = -28.44 eV/atom
formation enthalpy at 0 K = 0.011 eV per atom

Entry 2:
Material: Sc2Re
Method: DFT, meta-GGA SCAN
State: PBEsol geometry

Cell lengths 5.4311, 5.4311, 5.4311 Å; angles 103.89, 103.89, 121.34 degrees
Positions (direct):
Sc (0.1686, 0.6686, 0.8372)
Sc (0.3314, 0.1686, 0.5000)
Sc (0.6686, 0.8314, 0.5000)
Sc (0.8314, 0.3314, 0.1628)
Re (0.2500, 0.2500, 0.0000)
Re (0.7500, 0.7500, 0.0000)

Results
space-group type = I4/mcm, No. 140
VASP energy = -33.34 eV/atom
formation enthalpy at 0 K = -0.154 eV per atom

Entry 3:
Material: Sc3Re
Method: DFT, meta-GGA SCAN
State: PBEsol geometry

Cell lengths 5.0644, 5.0644, 5.0644 Å; angles 90.00, 90.00, 90.00 degrees
Positions (direct):
Sc (0.0000, 0.0000, 0.5000)
Sc (0.0000, 0.5000, 0.0000)
Sc (0.5000, 0.0000, 0.0000)
Re (0.0000, 0.0000, 0.0000)

Results
space-group type = Pm-3m, No. 221
VASP energy = -27.88 eV/atom
formation enthalpy at 0 K = 0.569 eV per atom

Entry 4:
Material: Sc3Re
Method: DFT, meta-GGA SCAN
State: PBEsol geometry

Cell lengths 7.1800, 8.3515, 5.5439 Å; angles 90.00, 90.00, 90.00 degrees
Positions (direct):
Sc (0.0355, 0.2500, 0.1133)
Sc (0.1762, 0.0625, 0.6316)
Sc (0.1762, 0.4375, 0.6316)
Sc (0.3238, 0.5625, 0.1316)
Sc (0.3238, 0.9375, 0.1316)
Sc (0.4645, 0.7500, 0.6133)
Sc (0.5355, 0.2500, 0.3867)
Sc (0.6762, 0.0625, 0.8684)
Sc (0.6762, 0.4375, 0.8684)
Sc (0.8238, 0.5625, 0.3684)
Sc (0.8238, 0.9375, 0.3684)
Sc (0.9645, 0.7500, 0.8867)
Re (0.1212, 0.7500, 0.4401)
Re (0.3788, 0.2500, 0.9401)
Re (0.6212, 0.7500, 0.0599)
Re (0.8788, 0.2500, 0.5599)

Results
space-group type = Pnma, No. 62
VASP energy = -28.59 eV/atom
formation enthalpy at 0 K = -0.141 eV per atom

Entry 5:
Material: Sc5Re
Method: DFT, meta-GGA SCAN
State: PBEsol geometry

Cell lengths 5.5627, 5.5627, 5.5627 Å; angles 60.00, 60.00, 60.00 degrees
Positions (direct):
Sc (0.0000, 0.0000, 0.0000)
Sc (0.1304, 0.6232, 0.6232)
Sc (0.6232, 0.1304, 0.6232)
Sc (0.6232, 0.6232, 0.1304)
Sc (0.6232, 0.6232, 0.6232)
Re (0.2500, 0.2500, 0.2500)

Results
space-group type = F-43m, No. 216
VASP energy = -23.16 eV/atom
formation enthalpy at 0 K = 0.557 eV per atom
ΔE to the lowest computed polymorph = 615 meV/atom

Entry 6:
Material: ScRe2Se
Method: DFT, meta-GGA SCAN
State: PBEsol geometry

Cell lengths 2.8150, 2.8150, 8.8701 Å; angles 90.00, 90.00, 113.45 degrees
Positions (direct):
Sc (0.0000, 0.0000, 0.0000)
Re (0.5000, 0.5000, 0.2534)
Re (0.5000, 0.5000, 0.7466)
Se (0.0000, 0.0000, 0.5000)

Results
space-group type = Cmmm, No. 65
VASP energy = -43.53 eV/atom
E_form (uncorrected) = 0.59 eV/atom

Q: VASP energy of number 5 (Sc5Re)?
A: -23.16 eV/atom